Material: Sc3AgC
Method: DFT, GGA-PBE
State: relaxed

Unit cell a=7.9602 b=7.9602 c=10.2055 alpha=90.00 beta=90.00 gamma=120.00
Last column: nearest neighbours and their distance in Å.
Space group R-3c (No. 167, hexagonal axes)
Symmetry-distinct sites (fractional):
Sc 0.0000 0.2689 0.2500 [18 per cell]  1 C 2.14
Ag 0.0000 0.0000 0.0000 [6 per cell]  2 C 2.55
C 0.0000 0.0000 0.2500 [6 per cell]  3 Sc 2.14

Results
ΔE to the lowest computed polymorph	551.3	meV/atom